A crystal of Al3CdB relaxed with PBEsol, computed with SCAN.

abc: 4.9115 4.9115 4.9115
angles: 90.00 90.00 90.00
Last column: nearest neighbours and their distance in Å.
Sites, in units of the cell vectors:
Al 0.0000 0.0000 0.5000  2 Cd 2.46
Al 0.0000 0.5000 0.0000  2 Cd 2.46
Al 0.5000 0.0000 0.0000  2 Cd 2.46
Cd 0.0000 0.0000 0.0000  6 Al 2.46
B 0.5000 0.5000 0.5000  12 Al 3.47

Electronic total energy (eV/atom): -10.58
Magnetic moment (μB/f.u.): 0.00
Calculated formation energy (eV per atom): 1.638
SG: No. 221